FeIrPb2O6 | PBE with a Hubbard U | optimized geometry

Output
The calculation puts the total energy at -0.22755 hartree per atom. The calculation puts the mass density at 9.9 g cm⁻³.

abc: 5.657 5.647 9.775
angles: 90.00 125.36 90.00
Element x y z (fractional)
Fe: 0.000 0.000 0.000
Fe: 0.000 0.500 0.500
Ir: 0.500 0.000 0.500
Ir: 0.500 0.500 0.000
Pb: 0.255 0.024 0.749
Pb: 0.255 0.476 0.249
Pb: 0.745 0.524 0.751
Pb: 0.745 0.976 0.251
O: 0.187 0.013 0.254
O: 0.187 0.487 0.754
O: 0.260 0.718 0.036
O: 0.260 0.782 0.536
O: 0.320 0.225 0.036
O: 0.320 0.275 0.536
O: 0.680 0.725 0.464
O: 0.680 0.775 0.964
O: 0.740 0.218 0.464
O: 0.740 0.282 0.964
O: 0.813 0.513 0.246
O: 0.813 0.987 0.746